# Nd2HoZn GGA-PBE optimized geometry
data_Nd2HoZn
_cell_length_a 3.6348
_cell_length_b 3.6348
_cell_length_c 31.7235
_cell_angle_alpha 90.00
_cell_angle_beta 90.00
_cell_angle_gamma 120.00
_space_group_name_H-M_alt 'R -3 m'
_space_group_IT_number 166
_space_group_name_Hall '-R 3 2"'
loop_
_atom_site_label
_atom_site_fract_x
_atom_site_fract_y
_atom_site_fract_z
_atom_site_occupancy
Nd1 0.0000 0.0000 0.2405 1
Ho1 0.0000 0.0000 0.0000 1
Zn1 0.0000 0.0000 0.5000 1
# Excess energy over the best structure of this formula in the dataset ... 0.1343 eV per atom

## NdHo6Zn (GGA-PBE)

Data for a relaxed structure of NdHo6Zn.

Structure (CIF):
```
data_NdHo6Zn
_cell_length_a 9.2860
_cell_length_b 9.2860
_cell_length_c 9.6588
_cell_angle_alpha 90.00
_cell_angle_beta 90.00
_cell_angle_gamma 120.00
_space_group_name_H-M_alt 'R -3'
_space_group_IT_number 148
_space_group_name_Hall '-R 3'
loop_
_atom_site_label
_atom_site_fract_x
_atom_site_fract_y
_atom_site_fract_z
_atom_site_occupancy
Nd1 0.0000 0.0000 0.0000 1
Ho1 0.0309 0.2498 0.7039 1
Zn1 0.0000 0.0000 0.5000 1
```

no.,D(E_F) (states/eV/atom),ΔE_f (eV per atom)
1,1.0689,-0.021
2,1.2421,0.046